MoIrPb2 after structural relaxation. Source: Alexandria via LeMat-Bulk, functional PBE.

- Spin magnetization: 0.00 μB per cell
- Space group: R3m (160)
- Energy of formation from the pure elements: 0.42 eV/atom
- Polymorph energy (0 for the lowest one): 203 meV per atom
- DOS(E_F): 4.11 states/eV per cell

```
data_MoIrPb2
_chemical_formula_sum 'Mo1 Ir1 Pb2'
_cell_length_a 11.0173
_cell_length_b 11.0173
_cell_length_c 11.0173
_cell_angle_alpha 16.13
_cell_angle_beta 16.13
_cell_angle_gamma 16.13
_space_group_name_H-M_alt 'P 1'
_space_group_IT_number 1
loop_
_space_group_symop_operation_xyz
'x,y,z'
loop_
_atom_site_label
_atom_site_type_symbol
_atom_site_fract_x
_atom_site_fract_y
_atom_site_fract_z
Mo1 Mo 0.0000 0.0000 0.0000
Ir1 Ir 0.2741 0.2741 0.2741
Pb1 Pb 0.5297 0.5297 0.5297
Pb2 Pb 0.7467 0.7467 0.7467
```